# Mg5Ni (SCAN, PBEsol geometry)
# calculated formation energy	0.13	eV per formula unit
# DOS(E_F)	2.9	states/eV/f.u.
data_Mg5Ni
_chemical_formula_sum 'Mg5 Ni1'
_cell_length_a 5.236
_cell_length_b 5.236
_cell_length_c 4.725
_cell_angle_alpha 90.00
_cell_angle_beta 90.00
_cell_angle_gamma 120.00
_symmetry_space_group_name_H-M 'P 1'
_symmetry_Int_Tables_number 1
_symmetry_space_group_name_Hall 'P 1'
loop_
_atom_site_label
_atom_site_fract_x
_atom_site_fract_y
_atom_site_fract_z
Mg1 0.000 0.689 0.000
Mg2 0.311 0.311 0.000
Mg3 0.333 0.667 0.500
Mg4 0.667 0.333 0.500
Mg5 0.689 0.000 0.000
Ni1 0.000 0.000 0.500

---

# Mg7Ni (SCAN, PBEsol geometry)
# calculated formation energy	0.71	eV per formula unit
# DOS(E_F)	3.6	states/eV/f.u.
data_Mg7Ni
_chemical_formula_sum 'Mg7 Ni1'
_cell_length_a 6.064
_cell_length_b 6.064
_cell_length_c 6.064
_cell_angle_alpha 60.00
_cell_angle_beta 60.00
_cell_angle_gamma 60.00
_symmetry_space_group_name_H-M 'P 1'
_symmetry_Int_Tables_number 1
_symmetry_space_group_name_Hall 'P 1'
loop_
_atom_site_label
_atom_site_fract_x
_atom_site_fract_y
_atom_site_fract_z
Mg1 0.000 0.000 0.000
Mg2 0.000 0.000 0.500
Mg3 0.000 0.500 0.000
Mg4 0.000 0.500 0.500
Mg5 0.500 0.000 0.000
Mg6 0.500 0.000 0.500
Mg7 0.500 0.500 0.000
Ni1 0.500 0.500 0.500

---

# Mg3NiO4 (SCAN, PBEsol geometry)
# uncorrected formation energy	-2.584	eV/atom
data_Mg3NiO4
_chemical_formula_sum 'Mg3 Ni1 O4'
_cell_length_a 4.174
_cell_length_b 4.174
_cell_length_c 4.174
_cell_angle_alpha 90.00
_cell_angle_beta 90.00
_cell_angle_gamma 90.00
_symmetry_space_group_name_H-M 'P 1'
_symmetry_Int_Tables_number 1
_symmetry_space_group_name_Hall 'P 1'
loop_
_atom_site_label
_atom_site_fract_x
_atom_site_fract_y
_atom_site_fract_z
Mg1 0.000 0.000 0.500
Mg2 0.000 0.500 0.000
Mg3 0.500 0.000 0.000
Ni1 0.500 0.500 0.500
O1 0.000 0.000 0.000
O2 0.000 0.500 0.500
O3 0.500 0.000 0.500
O4 0.500 0.500 0.000

---

# Mg2Ni3O8 (SCAN, PBEsol geometry)
# uncorrected formation energy	-1.648	eV/atom
data_Mg2Ni3O8
_chemical_formula_sum 'Mg2 Ni3 O8'
_cell_length_a 5.683
_cell_length_b 5.683
_cell_length_c 4.759
_cell_angle_alpha 105.75
_cell_angle_beta 105.75
_cell_angle_gamma 59.19
_symmetry_space_group_name_H-M 'P 1'
_symmetry_Int_Tables_number 1
_symmetry_space_group_name_Hall 'P 1'
loop_
_atom_site_label
_atom_site_fract_x
_atom_site_fract_y
_atom_site_fract_z
Mg1 0.218 0.218 0.142
Mg2 0.782 0.782 0.858
Ni1 0.246 0.754 0.500
Ni2 0.500 0.500 0.000
Ni3 0.754 0.246 0.500
O1 0.109 0.109 0.440
O2 0.162 0.613 0.109
O3 0.387 0.838 0.891
O4 0.397 0.397 0.597
O5 0.603 0.603 0.403
O6 0.613 0.162 0.109
O7 0.838 0.387 0.891
O8 0.891 0.891 0.560

---

# MgNiP4O12 (SCAN, PBEsol geometry)
# DOS(E_F)	0.0	states/eV/f.u.
# uncorrected formation energy	-2.440	eV/atom
data_MgNiP4O12
_chemical_formula_sum 'Mg2 Ni2 P8 O24'
_cell_length_a 7.144
_cell_length_b 7.144
_cell_length_c 9.889
_cell_angle_alpha 113.01
_cell_angle_beta 113.01
_cell_angle_gamma 70.49
_symmetry_space_group_name_H-M 'P 1'
_symmetry_Int_Tables_number 1
_symmetry_space_group_name_Hall 'P 1'
loop_
_atom_site_label
_atom_site_fract_x
_atom_site_fract_y
_atom_site_fract_z
Mg1 0.056 0.944 0.750
Mg2 0.944 0.056 0.250
Ni1 0.000 0.500 0.500
Ni2 0.500 0.000 0.000
P1 0.254 0.730 0.023
P2 0.270 0.746 0.477
P3 0.293 0.312 0.802
P4 0.312 0.293 0.302
P5 0.688 0.707 0.698
P6 0.707 0.688 0.198
P7 0.730 0.254 0.523
P8 0.746 0.270 0.977
O1 0.089 0.854 0.097
O2 0.116 0.285 0.323
O3 0.146 0.911 0.403
O4 0.187 0.340 0.647
O5 0.193 0.705 0.583
O6 0.206 0.502 0.932
O7 0.285 0.116 0.823
O8 0.295 0.807 0.917
O9 0.320 0.531 0.347
O10 0.340 0.187 0.147
O11 0.469 0.680 0.153
O12 0.498 0.794 0.568
O13 0.502 0.206 0.432
O14 0.531 0.320 0.847
O15 0.660 0.813 0.853
O16 0.680 0.469 0.653
O17 0.705 0.193 0.083
O18 0.715 0.884 0.177
O19 0.794 0.498 0.068
O20 0.807 0.295 0.417
O21 0.813 0.660 0.353
O22 0.854 0.089 0.597
O23 0.884 0.715 0.677
O24 0.911 0.146 0.903

---

# SrMgNiP2O8 (SCAN, PBEsol geometry)
# DOS(E_F)	0.0	states/eV/f.u.
# uncorrected formation energy	-2.723	eV/atom
data_SrMgNiP2O8
_chemical_formula_sum 'Sr2 Mg2 Ni2 P4 O16'
_cell_length_a 5.462
_cell_length_b 6.702
_cell_length_c 9.139
_cell_angle_alpha 110.49
_cell_angle_beta 100.92
_cell_angle_gamma 98.18
_symmetry_space_group_name_H-M 'P 1'
_symmetry_Int_Tables_number 1
_symmetry_space_group_name_Hall 'P 1'
loop_
_atom_site_label
_atom_site_fract_x
_atom_site_fract_y
_atom_site_fract_z
Sr1 0.241 0.200 0.441
Sr2 0.759 0.800 0.559
Mg1 0.495 0.407 0.155
Mg2 0.505 0.593 0.845
Ni1 0.144 0.856 0.060
Ni2 0.856 0.144 0.940
P1 0.107 0.572 0.259
P2 0.344 0.029 0.803
P3 0.656 0.971 0.197
P4 0.893 0.428 0.741
O1 0.115 0.404 0.092
O2 0.118 0.955 0.869
O3 0.147 0.479 0.698
O4 0.156 0.805 0.261
O5 0.244 0.000 0.628
O6 0.341 0.548 0.374
O7 0.456 0.116 0.188
O8 0.495 0.267 0.919
O9 0.505 0.733 0.081
O10 0.544 0.884 0.812
O11 0.659 0.452 0.626
O12 0.756 0.000 0.372
O13 0.844 0.195 0.739
O14 0.853 0.521 0.302
O15 0.882 0.045 0.131
O16 0.885 0.596 0.908

---

# MgSi2NiO6 (SCAN, PBEsol geometry)
# DOS(E_F)	0.0	states/eV/f.u.
# uncorrected formation energy	-2.722	eV/atom
data_MgSi2NiO6
_chemical_formula_sum 'Mg2 Si4 Ni2 O12'
_cell_length_a 6.408
_cell_length_b 6.408
_cell_length_c 4.966
_cell_angle_alpha 98.57
_cell_angle_beta 98.57
_cell_angle_gamma 86.08
_symmetry_space_group_name_H-M 'P 1'
_symmetry_Int_Tables_number 1
_symmetry_space_group_name_Hall 'P 1'
loop_
_atom_site_label
_atom_site_fract_x
_atom_site_fract_y
_atom_site_fract_z
Mg1 0.232 0.768 0.750
Mg2 0.768 0.232 0.250
Si1 0.109 0.291 0.794
Si2 0.291 0.109 0.294
Si3 0.709 0.891 0.706
Si4 0.891 0.709 0.206
Ni1 0.407 0.593 0.250
Ni2 0.593 0.407 0.750
O1 0.083 0.205 0.090
O2 0.116 0.642 0.365
O3 0.205 0.083 0.590
O4 0.288 0.469 0.862
O5 0.358 0.884 0.135
O6 0.469 0.288 0.362
O7 0.531 0.712 0.638
O8 0.642 0.116 0.865
O9 0.712 0.531 0.138
O10 0.795 0.917 0.410
O11 0.884 0.358 0.635
O12 0.917 0.795 0.910

---

# MgSi2NiO6 (SCAN, PBEsol geometry)
# DOS(E_F)	0.0	states/eV/f.u.
# uncorrected formation energy	-2.723	eV/atom
data_MgSi2NiO6
_chemical_formula_sum 'Mg8 Si16 Ni8 O48'
_cell_length_a 5.165
_cell_length_b 18.185
_cell_length_c 8.789
_cell_angle_alpha 90.00
_cell_angle_beta 90.00
_cell_angle_gamma 90.00
_symmetry_space_group_name_H-M 'P 1'
_symmetry_Int_Tables_number 1
_symmetry_space_group_name_Hall 'P 1'
loop_
_atom_site_label
_atom_site_fract_x
_atom_site_fract_y
_atom_site_fract_z
Mg1 0.137 0.123 0.155
Mg2 0.137 0.377 0.655
Mg3 0.363 0.623 0.155
Mg4 0.363 0.877 0.655
Mg5 0.637 0.123 0.345
Mg6 0.637 0.377 0.845
Mg7 0.863 0.623 0.345
Mg8 0.863 0.877 0.845
Si1 0.050 0.728 0.657
Si2 0.050 0.772 0.157
Si3 0.210 0.028 0.837
Si4 0.210 0.472 0.337
Si5 0.290 0.528 0.837
Si6 0.290 0.972 0.337
Si7 0.450 0.228 0.657
Si8 0.450 0.272 0.157
Si9 0.550 0.728 0.843
Si10 0.550 0.772 0.343
Si11 0.710 0.028 0.663
Si12 0.710 0.472 0.163
Si13 0.790 0.528 0.663
Si14 0.790 0.972 0.163
Si15 0.950 0.228 0.843
Si16 0.950 0.272 0.343
Ni1 0.149 0.123 0.509
Ni2 0.149 0.377 0.009
Ni3 0.351 0.623 0.509
Ni4 0.351 0.877 0.009
Ni5 0.649 0.123 0.991
Ni6 0.649 0.377 0.491
Ni7 0.851 0.623 0.991
Ni8 0.851 0.877 0.491
O1 0.030 0.683 0.159
O2 0.030 0.817 0.659
O3 0.043 0.689 0.493
O4 0.043 0.811 0.993
O5 0.099 0.554 0.692
O6 0.099 0.946 0.192
O7 0.169 0.197 0.722
O8 0.169 0.303 0.222
O9 0.179 0.568 0.986
O10 0.179 0.932 0.486
O11 0.203 0.562 0.338
O12 0.203 0.938 0.838
O13 0.297 0.062 0.338
O14 0.297 0.438 0.838
O15 0.321 0.068 0.986
O16 0.321 0.432 0.486
O17 0.331 0.697 0.722
O18 0.331 0.803 0.222
O19 0.401 0.054 0.692
O20 0.401 0.446 0.192
O21 0.457 0.189 0.493
O22 0.457 0.311 0.993
O23 0.470 0.183 0.159
O24 0.470 0.317 0.659
O25 0.530 0.683 0.341
O26 0.530 0.817 0.841
O27 0.543 0.689 0.007
O28 0.543 0.811 0.507
O29 0.599 0.554 0.808
O30 0.599 0.946 0.308
O31 0.669 0.197 0.778
O32 0.669 0.303 0.278
O33 0.679 0.568 0.514
O34 0.679 0.932 0.014
O35 0.703 0.562 0.162
O36 0.703 0.938 0.662
O37 0.797 0.062 0.162
O38 0.797 0.438 0.662
O39 0.821 0.068 0.514
O40 0.821 0.432 0.014
O41 0.831 0.697 0.778
O42 0.831 0.803 0.278
O43 0.901 0.054 0.808
O44 0.901 0.446 0.308
O45 0.957 0.189 0.007
O46 0.957 0.311 0.507
O47 0.970 0.183 0.341
O48 0.970 0.317 0.841

---

# SrMg30NiO32 (SCAN, PBEsol geometry)
# DOS(E_F)	0.0	states/eV/f.u.
# uncorrected formation energy	-2.919	eV/atom
data_SrMg30NiO32
_chemical_formula_sum 'Sr1 Mg30 Ni1 O32'
_cell_length_a 8.512
_cell_length_b 8.512
_cell_length_c 8.514
_cell_angle_alpha 90.00
_cell_angle_beta 90.00
_cell_angle_gamma 90.00
_symmetry_space_group_name_H-M 'P 1'
_symmetry_Int_Tables_number 1
_symmetry_space_group_name_Hall 'P 1'
loop_
_atom_site_label
_atom_site_fract_x
_atom_site_fract_y
_atom_site_fract_z
Sr1 0.000 0.000 0.000
Mg1 0.000 0.000 0.500
Mg2 0.000 0.255 0.255
Mg3 0.000 0.255 0.745
Mg4 0.000 0.500 0.000
Mg5 0.000 0.500 0.500
Mg6 0.000 0.745 0.255
Mg7 0.000 0.745 0.745
Mg8 0.251 0.251 0.500
Mg9 0.251 0.749 0.500
Mg10 0.252 0.500 0.250
Mg11 0.252 0.500 0.750
Mg12 0.255 0.000 0.255
Mg13 0.255 0.000 0.745
Mg14 0.256 0.256 0.000
Mg15 0.256 0.744 0.000
Mg16 0.500 0.000 0.000
Mg17 0.500 0.000 0.500
Mg18 0.500 0.252 0.250
Mg19 0.500 0.252 0.750
Mg20 0.500 0.500 0.500
Mg21 0.500 0.748 0.250
Mg22 0.500 0.748 0.750
Mg23 0.744 0.256 0.000
Mg24 0.744 0.744 0.000
Mg25 0.745 0.000 0.255
Mg26 0.745 0.000 0.745
Mg27 0.748 0.500 0.250
Mg28 0.748 0.500 0.750
Mg29 0.749 0.251 0.500
Mg30 0.749 0.749 0.500
Ni1 0.500 0.500 0.000
O1 0.000 0.000 0.270
O2 0.000 0.000 0.730
O3 0.000 0.254 0.500
O4 0.000 0.270 0.000
O5 0.000 0.500 0.253
O6 0.000 0.500 0.747
O7 0.000 0.730 0.000
O8 0.000 0.746 0.500
O9 0.250 0.250 0.250
O10 0.250 0.250 0.750
O11 0.250 0.750 0.250
O12 0.250 0.750 0.750
O13 0.251 0.500 0.500
O14 0.253 0.500 0.000
O15 0.254 0.000 0.500
O16 0.270 0.000 0.000
O17 0.500 0.000 0.253
O18 0.500 0.000 0.747
O19 0.500 0.251 0.500
O20 0.500 0.253 0.000
O21 0.500 0.500 0.252
O22 0.500 0.500 0.748
O23 0.500 0.747 0.000
O24 0.500 0.749 0.500
O25 0.730 0.000 0.000
O26 0.746 0.000 0.500
O27 0.747 0.500 0.000
O28 0.749 0.500 0.500
O29 0.750 0.250 0.250
O30 0.750 0.250 0.750
O31 0.750 0.750 0.250
O32 0.750 0.750 0.750

---

# MgTi2NiO6 (SCAN, PBEsol geometry)
# DOS(E_F)	0.0	states/eV/f.u.
# uncorrected formation energy	-2.902	eV/atom
data_MgTi2NiO6
_chemical_formula_sum 'Mg1 Ti2 Ni1 O6'
_cell_length_a 5.422
_cell_length_b 5.422
_cell_length_c 5.422
_cell_angle_alpha 55.16
_cell_angle_beta 55.16
_cell_angle_gamma 55.16
_symmetry_space_group_name_H-M 'P 1'
_symmetry_Int_Tables_number 1
_symmetry_space_group_name_Hall 'P 1'
loop_
_atom_site_label
_atom_site_fract_x
_atom_site_fract_y
_atom_site_fract_z
Mg1 0.000 0.000 0.000
Ti1 0.503 0.503 0.503
Ti2 0.791 0.791 0.791
Ni1 0.298 0.298 0.298
O1 0.085 0.691 0.419
O2 0.207 0.589 0.883
O3 0.419 0.085 0.691
O4 0.589 0.883 0.207
O5 0.691 0.419 0.085
O6 0.883 0.207 0.589

---

# Mg30ZnNiO32 (SCAN, PBEsol geometry)
# DOS(E_F)	0.0	states/eV/f.u.
# uncorrected formation energy	-2.915	eV/atom
data_Mg30ZnNiO32
_chemical_formula_sum 'Mg30 Zn1 Ni1 O32'
_cell_length_a 8.433
_cell_length_b 8.433
_cell_length_c 8.432
_cell_angle_alpha 90.00
_cell_angle_beta 90.00
_cell_angle_gamma 90.00
_symmetry_space_group_name_H-M 'P 1'
_symmetry_Int_Tables_number 1
_symmetry_space_group_name_Hall 'P 1'
loop_
_atom_site_label
_atom_site_fract_x
_atom_site_fract_y
_atom_site_fract_z
Mg1 0.000 0.000 0.000
Mg2 0.000 0.000 0.500
Mg3 0.000 0.250 0.250
Mg4 0.000 0.250 0.750
Mg5 0.000 0.500 0.000
Mg6 0.000 0.500 0.500
Mg7 0.000 0.750 0.250
Mg8 0.000 0.750 0.750
Mg9 0.250 0.000 0.250
Mg10 0.250 0.000 0.750
Mg11 0.250 0.250 0.000
Mg12 0.250 0.750 0.000
Mg13 0.251 0.251 0.500
Mg14 0.251 0.500 0.251
Mg15 0.251 0.500 0.749
Mg16 0.251 0.749 0.500
Mg17 0.500 0.000 0.000
Mg18 0.500 0.000 0.500
Mg19 0.500 0.251 0.251
Mg20 0.500 0.251 0.749
Mg21 0.500 0.749 0.251
Mg22 0.500 0.749 0.749
Mg23 0.749 0.251 0.500
Mg24 0.749 0.500 0.251
Mg25 0.749 0.500 0.749
Mg26 0.749 0.749 0.500
Mg27 0.750 0.000 0.250
Mg28 0.750 0.000 0.750
Mg29 0.750 0.250 0.000
Mg30 0.750 0.750 0.000
Zn1 0.500 0.500 0.000
Ni1 0.500 0.500 0.500
O1 0.000 0.000 0.250
O2 0.000 0.000 0.750
O3 0.000 0.250 0.000
O4 0.000 0.250 0.500
O5 0.000 0.500 0.250
O6 0.000 0.500 0.750
O7 0.000 0.750 0.000
O8 0.000 0.750 0.500
O9 0.248 0.500 0.000
O10 0.249 0.500 0.500
O11 0.250 0.000 0.000
O12 0.250 0.000 0.500
O13 0.250 0.250 0.250
O14 0.250 0.250 0.750
O15 0.250 0.750 0.250
O16 0.250 0.750 0.750
O17 0.500 0.000 0.250
O18 0.500 0.000 0.750
O19 0.500 0.248 0.000
O20 0.500 0.249 0.500
O21 0.500 0.500 0.253
O22 0.500 0.500 0.747
O23 0.500 0.751 0.500
O24 0.500 0.752 0.000
O25 0.750 0.000 0.000
O26 0.750 0.000 0.500
O27 0.750 0.250 0.250
O28 0.750 0.250 0.750
O29 0.750 0.750 0.250
O30 0.750 0.750 0.750
O31 0.751 0.500 0.500
O32 0.752 0.500 0.000

---

# MgNiOs (SCAN, PBEsol geometry)
# calculated formation energy	2.47	eV per formula unit
# DOS(E_F)	1.0	states/eV/f.u.
data_MgNiOs
_chemical_formula_sum 'Mg1 Ni1 Os1'
_cell_length_a 4.118
_cell_length_b 4.118
_cell_length_c 4.118
_cell_angle_alpha 60.00
_cell_angle_beta 60.00
_cell_angle_gamma 60.00
_symmetry_space_group_name_H-M 'P 1'
_symmetry_Int_Tables_number 1
_symmetry_space_group_name_Hall 'P 1'
loop_
_atom_site_label
_atom_site_fract_x
_atom_site_fract_y
_atom_site_fract_z
Mg1 0.000 0.000 0.000
Ni1 0.500 0.500 0.500
Os1 0.250 0.250 0.250

---

# MgNiOs2 (SCAN, PBEsol geometry)
# calculated formation energy	1.05	eV per formula unit
# DOS(E_F)	5.2	states/eV/f.u.
data_MgNiOs2
_chemical_formula_sum 'Mg1 Ni1 Os2'
_cell_length_a 8.787
_cell_length_b 8.787
_cell_length_c 8.787
_cell_angle_alpha 17.72
_cell_angle_beta 17.72
_cell_angle_gamma 17.72
_symmetry_space_group_name_H-M 'P 1'
_symmetry_Int_Tables_number 1
_symmetry_space_group_name_Hall 'P 1'
loop_
_atom_site_label
_atom_site_fract_x
_atom_site_fract_y
_atom_site_fract_z
Mg1 0.000 0.000 0.000
Ni1 0.500 0.500 0.500
Os1 0.244 0.244 0.244
Os2 0.756 0.756 0.756